[1]
First-principles (PBE) data for an optimized crystal structure of KDy2AgSe4, as listed in Alexandria via LeMat-Bulk.

The calculation puts the raw formation energy at -1.472 eV per atom.

The space group is Cmcm (No. 63) and the conventional cell measures 4.192, 14.047 and 14.807 Å, with angles of 90.00, 90.00 and 90.00 degrees. The inequivalent atoms are K at (0.000, 0.122, 0.250), Dy at (0.000, 0.369, 0.068), Ag at (0.000, 0.161, 0.750), Se at (0.000, 0.000, 0.000), Se at (0.000, 0.266, 0.603) and Se at (0.000, 0.449, 0.250).



[2]
First-principles (PBE) data for an optimized crystal structure of KDy3Ag2Se6, as listed in Alexandria via LeMat-Bulk.

Its density of states at the Fermi level is 0.0000 states/eV per atom. The calculation puts the raw formation energy at -1.345 eV per atom.

The space group is C2/m (No. 12) and the conventional cell measures 19.703, 4.155 and 8.234 Å, with angles of 90.00, 106.79 and 90.00 degrees. The inequivalent atoms are K at (0.000, 0.000, 0.000), Dy at (0.000, 0.000, 0.500), Dy at (0.172, 0.500, 0.810), Ag at (0.202, 0.500, 0.310), Se at (0.023, 0.500, 0.740), Se at (0.155, 0.000, 0.552) and Se at (0.176, 0.000, 0.068).



[3]
First-principles (PBE) data for an optimized crystal structure of KDyAgSe2, as listed in Alexandria via LeMat-Bulk.

Its density of states at the Fermi level is 0.2751 states/eV per atom. The calculation puts the raw formation energy at -1.045 eV per atom.

The space group is P2/c (No. 13) and the conventional cell measures 7.682, 4.988 and 8.017 Å, with angles of 90.00, 97.79 and 90.00 degrees. The inequivalent atoms are K at (0.000, 0.113, 0.250), Dy at (0.500, 0.495, 0.750), Ag at (0.500, 0.000, 0.000) and Se at (0.251, 0.385, 0.969).



[4]
First-principles (PBE) data for an optimized crystal structure of KDy2AgTe4, as listed in Alexandria via LeMat-Bulk.

The calculation puts the raw formation energy at -1.139 eV per atom.

The space group is Cmcm (No. 63) and the conventional cell measures 4.447, 14.971 and 15.813 Å, with angles of 90.00, 90.00 and 90.00 degrees. The inequivalent atoms are K at (0.000, 0.126, 0.250), Dy at (0.000, 0.369, 0.070), Ag at (0.000, 0.160, 0.750), Te at (0.000, 0.000, 0.000), Te at (0.000, 0.268, 0.605) and Te at (0.000, 0.452, 0.250).



[5]
First-principles (PBE) data for an optimized crystal structure of LaDy2Ag4, as listed in Alexandria via LeMat-Bulk.

Its density of states at the Fermi level is 0.7351 states/eV per atom.

The space group is I4/mmm (No. 139) and the conventional cell measures 7.524, 7.524 and 6.746 Å, with angles of 90.00, 90.00 and 90.00 degrees. The inequivalent atoms are La at (0.000, 0.000, 0.000), Dy at (0.000, 0.500, 0.000) and Ag at (0.250, 0.250, 0.250).



[6]
First-principles (PBE) data for an optimized crystal structure of LaDyAg, as listed in Alexandria via LeMat-Bulk.

Its density of states at the Fermi level is 1.3647 states/eV per atom. The excess energy over the best structure of this formula in the dataset is 0.04 eV per formula unit.

The space group is I4mm (No. 107) and the conventional cell measures 3.694, 3.694 and 12.823 Å, with angles of 90.00, 90.00 and 90.00 degrees. The inequivalent atoms are La at (0.000, 0.000, 0.000), Dy at (0.000, 0.000, 0.296) and Ag at (0.000, 0.000, 0.667).



no.,DFT total energy (eV/atom)
1,-4.86
2,-4.80
3,-4.15
4,-4.35
5,-3.73
6,-4.29